Record 1
# Ag2BiClO PBE optimized geometry
# Formation energy (no corrections) in eV per atom: 0.7554
data_Ag2BiClO
_chemical_formula_sum 'Ag2 Bi1 Cl1 O1'
_symmetry_space_group_name_H-M 'P 4/m m m'
_symmetry_Int_Tables_number 123
_symmetry_space_group_name_Hall '-P 4 2'
_cell_length_a 5.529
_cell_length_b 5.529
_cell_length_c 5.377
_cell_angle_alpha 90.00
_cell_angle_beta 90.00
_cell_angle_gamma 90.00
loop_
_atom_site_label
_atom_site_type_symbol
_atom_site_fract_x
_atom_site_fract_y
_atom_site_fract_z
Ag1 Ag 0.000 0.500 0.000
Bi1 Bi 0.000 0.000 0.000
Cl1 Cl 0.000 0.000 0.500
O1 O 0.500 0.500 0.500


Record 2
# AgBiPCl2 PBE optimized geometry
# Energy above the lowest structure with this stoichiometry in meV/atom: 0.0
# Formation energy (no corrections) in eV per atom: 0.2492
data_AgBiPCl2
_chemical_formula_sum 'Ag1 Bi1 P1 Cl2'
_symmetry_space_group_name_H-M 'P 4/m m m'
_symmetry_Int_Tables_number 123
_symmetry_space_group_name_Hall '-P 4 2'
_cell_length_a 5.365
_cell_length_b 5.365
_cell_length_c 5.521
_cell_angle_alpha 90.00
_cell_angle_beta 90.00
_cell_angle_gamma 90.00
loop_
_atom_site_label
_atom_site_type_symbol
_atom_site_fract_x
_atom_site_fract_y
_atom_site_fract_z
Ag1 Ag 0.000 0.000 0.000
Bi1 Bi 0.500 0.500 0.500
P1 P 0.500 0.500 0.000
Cl1 Cl 0.000 0.500 0.500


Record 3
# AgBiPCl2 PBE optimized geometry
# Energy above the lowest structure with this stoichiometry in meV/atom: 20.7
# Formation energy (no corrections) in eV per atom: 0.2699
data_AgBiPCl2
_chemical_formula_sum 'Ag1 Bi1 P1 Cl2'
_symmetry_space_group_name_H-M 'P 4/m m m'
_symmetry_Int_Tables_number 123
_symmetry_space_group_name_Hall '-P 4 2'
_cell_length_a 4.876
_cell_length_b 4.876
_cell_length_c 5.176
_cell_angle_alpha 90.00
_cell_angle_beta 90.00
_cell_angle_gamma 90.00
loop_
_atom_site_label
_atom_site_type_symbol
_atom_site_fract_x
_atom_site_fract_y
_atom_site_fract_z
Ag1 Ag 0.000 0.000 0.000
Bi1 Bi 0.500 0.500 0.500
P1 P 0.000 0.000 0.500
Cl1 Cl 0.000 0.500 0.000


Record 4
# AgBiPbCl6 PBE optimized geometry
# Formation energy (no corrections) in eV per atom: -0.9196
data_AgBiPbCl6
_chemical_formula_sum 'Ag2 Bi2 Pb2 Cl12'
_symmetry_space_group_name_H-M 'P -3 1 c'
_symmetry_Int_Tables_number 163
_symmetry_space_group_name_Hall '-P 3 2c'
_cell_length_a 7.0143
_cell_length_b 7.0143
_cell_length_c 12.7436
_cell_angle_alpha 90.00
_cell_angle_beta 90.00
_cell_angle_gamma 120.00
loop_
_atom_site_label
_atom_site_type_symbol
_atom_site_fract_x
_atom_site_fract_y
_atom_site_fract_z
Ag1 Ag 0.3333 0.6667 0.2500
Bi1 Bi 0.3333 0.6667 0.7500
Pb1 Pb 0.0000 0.0000 0.0000
Cl1 Cl 0.0047 0.3488 0.6292


Record 5
# Ag2BiPbCl8 PBE optimized geometry
# Formation energy (no corrections) in eV per atom: -0.7593
data_Ag2BiPbCl8
_chemical_formula_sum 'Ag2 Bi1 Pb1 Cl8'
_symmetry_space_group_name_H-M 'P 1 2/m 1'
_symmetry_Int_Tables_number 10
_cell_length_a 6.512
_cell_length_b 8.164
_cell_length_c 6.763
_cell_angle_alpha 90.00
_cell_angle_beta 95.69
_cell_angle_gamma 90.00
loop_
_symmetry_equiv_pos_as_xyz
'x,y,z'
'-x,-y,-z'
'-x,y,-z'
'x,-y,z'
loop_
_atom_site_label
_atom_site_type_symbol
_atom_site_fract_x
_atom_site_fract_y
_atom_site_fract_z
Ag1 Ag 0.000 0.249 0.000
Bi1 Bi 0.500 0.500 0.500
Pb1 Pb 0.500 0.000 0.500
Cl1 Cl 0.201 0.000 0.161
Cl2 Cl 0.206 0.500 0.168
Cl3 Cl 0.282 0.263 0.672


Record 6
# RbAgBiCl5 PBE optimized geometry
# Formation energy (no corrections) in eV per atom: -1.1262
data_RbAgBiCl5
_chemical_formula_sum 'Rb4 Ag4 Bi4 Cl20'
_symmetry_space_group_name_H-M 'C 1 2/c 1'
_symmetry_Int_Tables_number 15
_cell_length_a 9.023
_cell_length_b 12.680
_cell_length_c 10.308
_cell_angle_alpha 90.00
_cell_angle_beta 111.83
_cell_angle_gamma 90.00
loop_
_symmetry_equiv_pos_as_xyz
'x,y,z'
'-x,-y,-z'
'-x,y,-z+1/2'
'x,-y,z+1/2'
'x+1/2,y+1/2,z'
'-x+1/2,-y+1/2,-z'
'-x+1/2,y+1/2,-z+1/2'
'x+1/2,-y+1/2,z+1/2'
loop_
_atom_site_label
_atom_site_type_symbol
_atom_site_fract_x
_atom_site_fract_y
_atom_site_fract_z
Rb1 Rb 0.000 0.154 0.250
Ag1 Ag 0.000 0.189 0.750
Bi1 Bi 0.000 0.500 0.000
Cl1 Cl 0.000 0.423 0.250
Cl2 Cl 0.106 0.302 0.594
Cl3 Cl 0.190 0.059 0.935


Record 7
# RbAgBiCl6 PBE optimized geometry
# Formation energy (no corrections) in eV per atom: -1.0046
data_RbAgBiCl6
_chemical_formula_sum 'Rb1 Ag1 Bi1 Cl6'
_symmetry_space_group_name_H-M 'P 1'
_symmetry_Int_Tables_number 1
_cell_length_a 6.982
_cell_length_b 6.989
_cell_length_c 7.242
_cell_angle_alpha 92.00
_cell_angle_beta 92.08
_cell_angle_gamma 116.65
loop_
_symmetry_equiv_pos_as_xyz
'x,y,z'
loop_
_atom_site_label
_atom_site_type_symbol
_atom_site_fract_x
_atom_site_fract_y
_atom_site_fract_z
Rb1 Rb 0.000 0.000 0.000
Ag1 Ag 0.677 0.324 0.500
Bi1 Bi 0.336 0.665 0.501
Cl1 Cl 0.004 0.357 0.685
Cl2 Cl 0.029 0.632 0.263
Cl3 Cl 0.370 0.970 0.740
Cl4 Cl 0.405 0.353 0.285
Cl5 Cl 0.644 0.997 0.316
Cl6 Cl 0.647 0.593 0.716


Record 8
# Rb2AgBiCl6 PBE optimized geometry
# Energy above the lowest structure with this stoichiometry in meV/atom: 0.0
# Formation energy (no corrections) in eV per atom: -1.3164
data_Rb2AgBiCl6
_chemical_formula_sum 'Rb4 Ag2 Bi2 Cl12'
_symmetry_space_group_name_H-M 'P 1 21/c 1'
_symmetry_Int_Tables_number 14
_cell_length_a 7.536
_cell_length_b 7.759
_cell_length_c 13.038
_cell_angle_alpha 90.00
_cell_angle_beta 124.98
_cell_angle_gamma 90.00
loop_
_symmetry_equiv_pos_as_xyz
'x,y,z'
'-x,-y,-z'
'-x,y+1/2,-z+1/2'
'x,-y+1/2,z+1/2'
loop_
_atom_site_label
_atom_site_type_symbol
_atom_site_fract_x
_atom_site_fract_y
_atom_site_fract_z
Rb1 Rb 0.234 0.057 0.249
Ag1 Ag 0.000 0.000 0.500
Bi1 Bi 0.500 0.000 0.000
Cl1 Cl 0.170 0.205 0.961
Cl2 Cl 0.260 0.711 0.963
Cl3 Cl 0.323 0.014 0.749


Record 9
# Rb2AgBiCl6 PBE optimized geometry
# Energy above the lowest structure with this stoichiometry in meV/atom: 16.6
# Formation energy (no corrections) in eV per atom: -1.2998
data_Rb2AgBiCl6
_chemical_formula_sum 'Rb8 Ag4 Bi4 Cl24'
_symmetry_space_group_name_H-M 'F m -3 m'
_symmetry_Int_Tables_number 225
_symmetry_space_group_name_Hall '-F 4 2 3'
_cell_length_a 10.867
_cell_length_b 10.867
_cell_length_c 10.867
_cell_angle_alpha 90.00
_cell_angle_beta 90.00
_cell_angle_gamma 90.00
loop_
_atom_site_label
_atom_site_type_symbol
_atom_site_fract_x
_atom_site_fract_y
_atom_site_fract_z
Rb1 Rb 0.250 0.250 0.250
Ag1 Ag 0.000 0.000 0.000
Bi1 Bi 0.000 0.000 0.500
Cl1 Cl 0.000 0.000 0.250


Record 10
# Rb3Ag2BiCl9 PBE optimized geometry
# Formation energy (no corrections) in eV per atom: -1.2098
data_Rb3Ag2BiCl9
_chemical_formula_sum 'Rb3 Ag2 Bi1 Cl9'
_symmetry_space_group_name_H-M 'P -3 m 1'
_symmetry_Int_Tables_number 164
_symmetry_space_group_name_Hall '-P 3 2"'
_cell_length_a 7.5197
_cell_length_b 7.5197
_cell_length_c 9.3315
_cell_angle_alpha 90.00
_cell_angle_beta 90.00
_cell_angle_gamma 120.00
loop_
_atom_site_label
_atom_site_type_symbol
_atom_site_fract_x
_atom_site_fract_y
_atom_site_fract_z
Rb1 Rb 0.0000 0.0000 0.0000
Rb2 Rb 0.3333 0.6667 0.7017
Ag1 Ag 0.3333 0.6667 0.1540
Bi1 Bi 0.0000 0.0000 0.5000
Cl1 Cl 0.0000 0.5000 0.0000
Cl2 Cl 0.1681 0.3362 0.3301


Record 11
# RbAg2BiCl8 PBE optimized geometry
# Formation energy (no corrections) in eV per atom: -0.7216
data_RbAg2BiCl8
_chemical_formula_sum 'Rb2 Ag4 Bi2 Cl16'
_symmetry_space_group_name_H-M 'I -4'
_symmetry_Int_Tables_number 82
_cell_length_a 6.861
_cell_length_b 6.861
_cell_length_c 14.904
_cell_angle_alpha 90.00
_cell_angle_beta 90.00
_cell_angle_gamma 90.00
loop_
_symmetry_equiv_pos_as_xyz
'x,y,z'
'y,-x,-z'
'-x,-y,z'
'-y,x,-z'
'x+1/2,y+1/2,z+1/2'
'y+1/2,-x+1/2,-z+1/2'
'-x+1/2,-y+1/2,z+1/2'
'-y+1/2,x+1/2,-z+1/2'
loop_
_atom_site_label
_atom_site_type_symbol
_atom_site_fract_x
_atom_site_fract_y
_atom_site_fract_z
Rb1 Rb 0.000 0.000 0.000
Ag1 Ag 0.000 0.000 0.500
Ag2 Ag 0.000 0.500 0.250
Bi1 Bi 0.000 0.500 0.750
Cl1 Cl 0.127 0.287 0.590
Cl2 Cl 0.170 0.791 0.192


Record 12
# RbAgBi2Cl8 PBE optimized geometry
# Formation energy (no corrections) in eV per atom: -1.0319
data_RbAgBi2Cl8
_chemical_formula_sum 'Rb1 Ag1 Bi2 Cl8'
_symmetry_space_group_name_H-M 'P -3'
_symmetry_Int_Tables_number 147
_cell_length_a 7.2074
_cell_length_b 7.2074
_cell_length_c 8.4194
_cell_angle_alpha 90.00
_cell_angle_beta 90.00
_cell_angle_gamma 120.00
loop_
_symmetry_equiv_pos_as_xyz
'x,y,z'
'-x,-y,-z'
'-y,x-y,z'
'y,-x+y,-z'
'-x+y,-x,z'
'x-y,x,-z'
loop_
_atom_site_label
_atom_site_type_symbol
_atom_site_fract_x
_atom_site_fract_y
_atom_site_fract_z
Rb1 Rb 0.0000 0.0000 0.0000
Ag1 Ag 0.0000 0.0000 0.5000
Bi1 Bi 0.3333 0.6667 0.3740
Cl1 Cl 0.0496 0.3544 0.6637
Cl2 Cl 0.3333 0.6667 0.0738